CeTmTeS2: relaxed, PBE.

Cell lengths 4.480, 4.480, 13.621 Å; angles 90.00, 90.00, 90.00 degrees
Atoms (fractional coordinates):
Ce1 0.000 0.000 0.000
Ce2 0.500 0.500 0.500
Tm1 0.000 0.000 0.718
Tm2 0.500 0.500 0.218
Te1 0.000 0.000 0.366
Te2 0.500 0.500 0.866
S1 0.000 0.500 0.119
S2 0.000 0.500 0.619
S3 0.500 0.000 0.119
S4 0.500 0.000 0.619

Formation energy without anion corrections: -1.57 eV/atom
Size of the total moment: 1.0 μB per formula unit
Calculated density: 6.08 g/cm³